Material: K2PrCo3F12
Method: DFT, GGA+U
State: relaxed

The calculation puts the calculated volume at 817 Å³ per cell. As for the total DFT energy (no corrections): -5.151 eV per atom.

Cell: 7.5794 7.5794 16.4179 Å, 90.00 90.00 120.00°
Space group R-3m (No. 166, hexagonal axes)
Asymmetric unit:
K: 0.0000 0.0000 0.1154 x6
Pr: 0.0000 0.0000 0.5000 x3
Co: 0.0000 0.5000 0.0000 x9
F: 0.0225 0.5113 0.8804 x18
F: 0.0859 0.5430 0.3089 x18